Entry 1:
DFT (PBE) results for an optimized crystal structure of Pm3NiPt8.

Lattice parameters (Å, degrees): 9.4305 9.4305 9.4305 33.59 33.59 33.59
Closest atoms and distances in Å follow each position.
Sites, in units of the cell vectors:
Pm 0.0000 0.0000 0.0000  12 Pt 3.17-3.23, 4 Pm 3.49-3.51
Pm 0.1308 0.1308 0.1308  12 Pt 3.02-3.30, 3 Ni 3.16
Pm 0.6081 0.6081 0.6081  9 Pt 3.01-3.29
Ni 0.4762 0.4762 0.4762  3 Pt 2.69
Pt 0.0592 0.0592 0.5635  6 Pt 2.70-2.75, 3 Pm 3.01-3.02
Pt 0.0592 0.5635 0.0592  6 Pt 2.70-2.75, 3 Pm 3.01-3.02
Pt 0.0609 0.5607 0.5607  1 Ni 2.69, 6 Pt 2.72-2.73
Pt 0.3103 0.3103 0.3103  6 Pt 2.72-2.73
Pt 0.5607 0.0609 0.5607  1 Ni 2.69, 6 Pt 2.72-2.73
Pt 0.5607 0.5607 0.0609  1 Ni 2.69, 6 Pt 2.72-2.73
Pt 0.5635 0.0592 0.0592  6 Pt 2.70-2.75, 3 Pm 3.01-3.02
Pt 0.8113 0.8113 0.8113  6 Pt 2.70-2.73

Values from the calculation:
Symmetry   No. 160
Energy relative to the elements   -0.8420 eV/atom

Entry 2:
DFT (PBE) results for an optimized crystal structure of Pm2NiPt3.

Lattice parameters (Å, degrees): 5.5234 5.5234 8.5850 90.00 90.00 120.00
Closest atoms and distances in Å follow each position.
Sites, in units of the cell vectors:
Pm 0.3333 0.6667 0.0612  9 Pt 3.12-3.20, 3 Ni 3.23, 4 Pm 3.24-3.36
Pm 0.3333 0.6667 0.4388  9 Pt 3.12-3.20, 3 Ni 3.23, 4 Pm 3.24-3.36
Pm 0.6667 0.3333 0.5612  9 Pt 3.12-3.20, 3 Ni 3.23, 4 Pm 3.24-3.36
Pm 0.6667 0.3333 0.9388  9 Pt 3.12-3.20, 3 Ni 3.23, 4 Pm 3.24-3.36
Ni 0.0000 0.0000 0.0000  6 Pt 2.67
Ni 0.0000 0.0000 0.5000  6 Pt 2.67
Pt 0.1655 0.3310 0.7500  2 Ni 2.67, 4 Pt 2.74-2.78
Pt 0.1655 0.8345 0.7500  2 Ni 2.67, 4 Pt 2.74-2.78
Pt 0.3310 0.1655 0.2500  2 Ni 2.67, 4 Pt 2.74-2.78
Pt 0.6690 0.8345 0.7500  2 Ni 2.67, 4 Pt 2.74-2.78
Pt 0.8345 0.1655 0.2500  2 Ni 2.67, 4 Pt 2.74-2.78
Pt 0.8345 0.6690 0.2500  2 Ni 2.67, 4 Pt 2.74-2.78

Values from the calculation:
Symmetry   No. 194
Energy relative to the elements   -0.9145 eV/atom

Entry 3:
DFT (PBE) results for an optimized crystal structure of Pm5NiPt4.

Lattice parameters (Å, degrees): 3.5540 3.5540 17.9780 90.00 90.00 90.00
Closest atoms and distances in Å follow each position.
Sites, in units of the cell vectors:
Pm 0.0000 0.0000 0.0000  8 Pt 3.10
Pm 0.0000 0.0000 0.2024  8 Pt 3.10
Pm 0.0000 0.0000 0.4038  4 Ni 3.05, 4 Pt 3.09
Pm 0.0000 0.0000 0.5962  4 Ni 3.05, 4 Pt 3.09
Pm 0.0000 0.0000 0.7976  8 Pt 3.10
Ni 0.5000 0.5000 0.5000  8 Pm 3.05
Pt 0.5000 0.5000 0.1014  8 Pm 3.10
Pt 0.5000 0.5000 0.3037  8 Pm 3.09-3.10
Pt 0.5000 0.5000 0.6963  8 Pm 3.09-3.10
Pt 0.5000 0.5000 0.8986  8 Pm 3.10

Values from the calculation:
Symmetry   No. 123
Energy relative to the elements   -0.9126 eV/atom

Entry 4:
DFT (PBE) results for an optimized crystal structure of Pm2Ni3Pt12Rh.

Lattice parameters (Å, degrees): 8.0918 8.0918 8.0918 58.42 58.42 58.42
Closest atoms and distances in Å follow each position.
Sites, in units of the cell vectors:
Pm 0.1234 0.1234 0.1234  6 Pt 2.82-2.84
Pm 0.8766 0.8766 0.8766  6 Pt 2.82-2.84
Ni 0.0000 0.5000 0.5000  6 Pt 2.42-2.43
Ni 0.5000 0.0000 0.5000  6 Pt 2.42-2.43
Ni 0.5000 0.5000 0.0000  6 Pt 2.42-2.43
Pt 0.1125 0.6257 0.6257  1 Ni 2.43, 1 Rh 2.51
Pt 0.1259 0.1259 0.6276  2 Ni 2.42
Pt 0.1259 0.6276 0.1259  2 Ni 2.42
Pt 0.3724 0.8741 0.8741  2 Ni 2.42
Pt 0.3743 0.3743 0.8875  1 Ni 2.43, 1 Rh 2.51
Pt 0.3743 0.8875 0.3743  1 Ni 2.43, 1 Rh 2.51
Pt 0.6257 0.1125 0.6257  1 Ni 2.43, 1 Rh 2.51
Pt 0.6257 0.6257 0.1125  1 Ni 2.43, 1 Rh 2.51
Pt 0.6276 0.1259 0.1259  2 Ni 2.42
Pt 0.8741 0.3724 0.8741  2 Ni 2.42
Pt 0.8741 0.8741 0.3724  2 Ni 2.42
Pt 0.8875 0.3743 0.3743  1 Ni 2.43, 1 Rh 2.51
Rh 0.5000 0.5000 0.5000  6 Pt 2.51

Values from the calculation:
Symmetry   No. 166
Energy relative to the elements   0.0841 eV/atom

Entry 5:
DFT (PBE) results for an optimized crystal structure of Pm2Ni3Sb4Pt.

Lattice parameters (Å, degrees): 4.5326 4.5326 10.0671 90.00 90.00 90.00
Closest atoms and distances in Å follow each position.
Sites, in units of the cell vectors:
Pm 0.0000 0.5000 0.2432  6 Ni 3.34-3.49, 2 Pt 3.34, 8 Sb 3.38-3.44
Pm 0.5000 0.0000 0.7568  6 Ni 3.34-3.49, 2 Pt 3.34, 8 Sb 3.38-3.44
Ni 0.0000 0.0000 0.0000  4 Sb 2.64
Ni 0.0000 0.5000 0.6185  5 Sb 2.48-2.56
Ni 0.5000 0.0000 0.3815  5 Sb 2.48-2.56
Sb 0.0000 0.0000 0.5000  4 Ni 2.56
Sb 0.0000 0.5000 0.8646  3 Ni 2.48-2.64, 2 Pt 2.64
Sb 0.5000 0.0000 0.1354  3 Ni 2.48-2.64, 2 Pt 2.64
Sb 0.5000 0.5000 0.5000  4 Ni 2.56
Pt 0.5000 0.5000 0.0000  4 Sb 2.64

Values from the calculation:
Symmetry   No. 115

Entry 6:
DFT (PBE) results for an optimized crystal structure of Pm2Ni4Sb3Pt.

Lattice parameters (Å, degrees): 4.3005 4.3005 10.3226 90.00 90.00 90.00
Closest atoms and distances in Å follow each position.
Sites, in units of the cell vectors:
Pm 0.0000 0.5000 0.2486  8 Ni 3.27-3.37, 6 Sb 3.29-3.35, 2 Pt 3.35
Pm 0.5000 0.0000 0.7514  8 Ni 3.27-3.37, 6 Sb 3.29-3.35, 2 Pt 3.35
Ni 0.0000 0.0000 0.5000  4 Sb 2.54
Ni 0.0000 0.5000 0.8686  3 Sb 2.46-2.54, 2 Pt 2.54
Ni 0.5000 0.0000 0.1314  3 Sb 2.46-2.54, 2 Pt 2.54
Ni 0.5000 0.5000 0.5000  4 Sb 2.54
Sb 0.0000 0.0000 0.0000  4 Ni 2.54
Sb 0.0000 0.5000 0.6301  5 Ni 2.46-2.54
Sb 0.5000 0.0000 0.3699  5 Ni 2.46-2.54
Pt 0.5000 0.5000 0.0000  4 Ni 2.54

Values from the calculation:
Symmetry   No. 115

Entry 7:
DFT (PBE) results for an optimized crystal structure of PmNiSbPt.

Lattice parameters (Å, degrees): 4.8141 4.8141 4.8141 60.00 60.00 60.00
Closest atoms and distances in Å follow each position.
Sites, in units of the cell vectors:
Pm 0.0000 0.0000 0.0000  4 Pt 2.95, 4 Ni 2.95
Ni 0.2500 0.2500 0.2500  4 Sb 2.95, 4 Pm 2.95
Sb 0.5000 0.5000 0.5000  4 Ni 2.95, 4 Pt 2.95
Pt 0.7500 0.7500 0.7500  4 Sb 2.95, 4 Pm 2.95

Values from the calculation:
Symmetry   No. 216

Entry 8:
DFT (PBE) results for an optimized crystal structure of Pm2NiSb3Pt4.

Lattice parameters (Å, degrees): 4.4890 4.4890 10.5980 90.00 90.00 90.00
Closest atoms and distances in Å follow each position.
Sites, in units of the cell vectors:
Pm 0.0000 0.5000 0.2455  6 Sb 3.41-3.44, 8 Pt 3.43-3.51, 2 Ni 3.44
Pm 0.5000 0.0000 0.7545  6 Sb 3.41-3.44, 8 Pt 3.43-3.51, 2 Ni 3.44
Ni 0.5000 0.5000 0.0000  4 Pt 2.59
Sb 0.0000 0.0000 0.0000  4 Pt 2.59
Sb 0.0000 0.5000 0.6361  5 Pt 2.56-2.67
Sb 0.5000 0.0000 0.3639  5 Pt 2.56-2.67
Pt 0.0000 0.0000 0.5000  4 Sb 2.67
Pt 0.0000 0.5000 0.8777  3 Sb 2.56-2.59, 2 Ni 2.59
Pt 0.5000 0.0000 0.1223  3 Sb 2.56-2.59, 2 Ni 2.59
Pt 0.5000 0.5000 0.5000  4 Sb 2.67

Values from the calculation:
Symmetry   No. 115

For the records above, the corresponding total DFT energy (no corrections) values read -6.539 -6.482 -6.282 -5.843 -5.609 -5.744 -5.735 -5.922 eV per atom.